## 1
Material: CoTeN2F
Method: DFT, GGA+U
State: optimized geometry

Properties
Its total magnetization is 3.0 μB per cell. The theoretical density is 5.66 g cm⁻³.

CIF file:
```
data_CoTeN2F
_chemical_formula_sum 'Co1 Te1 N2 F1'
_cell_length_a 3.5978
_cell_length_b 3.5978
_cell_length_c 5.2969
_cell_angle_alpha 90.00
_cell_angle_beta 90.00
_cell_angle_gamma 90.00
_symmetry_space_group_name_H-M 'P 1'
_symmetry_Int_Tables_number 1
loop_
_symmetry_equiv_pos_as_xyz
'x,y,z'
loop_
_atom_site_label
_atom_site_fract_x
_atom_site_fract_y
_atom_site_fract_z
_atom_site_occupancy
Co1 0.0000 0.0000 0.0000 1
Te1 0.0000 0.0000 0.5000 1
N1 0.0000 0.5000 0.0000 1
N2 0.5000 0.0000 0.0000 1
F1 0.5000 0.5000 0.5000 1
```



## 2
Material: CoTeN2F
Method: DFT, GGA+U
State: optimized geometry

Properties
Its total magnetization is 1.4 μB per cell. The theoretical density is 6.82 g cm⁻³.

CIF file:
```
data_CoTeN2F
_chemical_formula_sum 'Co1 Te1 N2 F1'
_cell_length_a 3.8730
_cell_length_b 3.8730
_cell_length_c 3.7915
_cell_angle_alpha 90.00
_cell_angle_beta 90.00
_cell_angle_gamma 90.00
_symmetry_space_group_name_H-M 'P 1'
_symmetry_Int_Tables_number 1
loop_
_symmetry_equiv_pos_as_xyz
'x,y,z'
loop_
_atom_site_label
_atom_site_fract_x
_atom_site_fract_y
_atom_site_fract_z
_atom_site_occupancy
Co1 0.0000 0.0000 0.0000 1
Te1 0.5000 0.5000 0.5000 1
N1 0.0000 0.5000 0.0000 1
N2 0.5000 0.0000 0.0000 1
F1 0.0000 0.0000 0.5000 1
```



Compare the structures above. Which one is the most stable? 2 is.